KBCl2O | PBE | relaxed

Geometry as POSCAR:
```
KBCl2O
1.0
4.202 0.000 0.000
0.000 8.261 0.000
0.000 0.000 4.202
K B O Cl
1 1 1 2
Cartesian
0.000 4.131 0.000
0.000 0.000 0.000
2.101 4.131 2.101
0.000 0.000 2.101
2.101 0.000 0.000
```

## Properties
Raw total energy ... -3.115 eV/atom
Calculated density ... 1.56 g/cm³
Symmetry ... P4/mmm, No. 123
Formation energy (no corrections) ... 169.8 meV/atom
DOS at the Fermi energy ... 0.65 states/eV/atom

---

PrSmTi | PBE | relaxed

Geometry as POSCAR:
```
PrSmTi
1.0
3.630 0.000 0.000
0.000 3.630 0.000
0.000 0.000 13.180
Pr Sm Ti
2 2 2
Cartesian
0.000 1.815 7.912
1.815 0.000 5.269
1.815 0.000 10.634
0.000 1.815 2.546
0.000 1.815 12.642
1.815 0.000 0.539
```

## Properties
Raw total energy ... -5.675 eV/atom
ΔE_f ... 0.123 eV per atom
Calculated density ... 6.49 g/cm³
Symmetry ... P4/nmm, No. 129
DOS at the Fermi energy ... 1.68 states/eV/atom

---

PrMg3Pb6 | PBE | relaxed

Geometry as POSCAR:
```
PrMg3Pb6
1.0
4.831 0.000 0.000
0.000 10.223 -0.684
0.000 -0.299 11.435
Pr Mg Pb
2 6 12
Cartesian
1.208 9.401 6.407
3.623 0.523 4.344
1.208 5.556 4.218
3.623 4.368 6.533
1.208 3.267 8.949
3.623 6.657 1.802
1.208 7.382 10.861
3.623 2.541 -0.110
1.208 4.659 0.777
3.623 5.264 9.973
1.208 1.582 2.108
3.623 8.341 8.643
1.208 6.137 7.599
3.623 3.787 3.152
1.208 2.603 5.599
3.623 7.321 5.152
1.208 8.405 2.847
3.623 1.519 7.904
1.208 0.375 10.341
3.623 9.549 0.410
```

## Properties
Raw total energy ... -3.316 eV/atom
ΔE_f ... -0.135 eV per atom
Calculated density ... 8.58 g/cm³
Symmetry ... P2_1/m, No. 11
DOS at the Fermi energy ... 0.57 states/eV/atom

---

Mg2CoIr | PBE | relaxed

Geometry as POSCAR:
```
Mg2CoIr
1.0
3.947 0.000 0.000
0.000 3.949 0.000
0.000 0.000 3.844
Co Ir Mg
1 1 2
Cartesian
1.973 0.000 1.922
0.000 1.975 1.922
0.000 0.000 0.000
1.973 1.975 0.000
```

## Properties
Raw total energy ... -4.841 eV/atom
Offset from the most stable computed form ... 4.2 kJ per mole of atoms
ΔE_f ... -0.052 eV per atom
Calculated density ... 8.31 g/cm³
Symmetry ... P4/mmm, No. 123
DOS at the Fermi energy ... 1.32 states/eV/atom